TbPm2Nd6Dy | PBE-GGA | optimized geometry

* DOS at the Fermi energy: 29.31 states/eV per cell
* energy: -4.620 eV/atom
* energy of formation: 0.11 eV/atom
* symmetry: C2/c

Cell and atoms, written as POSCAR:
```
TbPm2Nd6Dy
1.0
4.624 -7.712 0.000
4.624 7.712 0.000
-1.427 0.000 9.726
Tb Pm Nd Dy
2 4 12 2
direct
0.022 0.978 0.750 Tb
0.978 0.022 0.250 Tb
0.196 0.296 0.543 Pm
0.296 0.196 0.043 Pm
0.704 0.804 0.957 Pm
0.804 0.704 0.457 Pm
0.015 0.571 0.689 Nd
0.120 0.755 0.055 Nd
0.245 0.880 0.445 Nd
0.292 0.503 0.881 Nd
0.429 0.985 0.811 Nd
0.497 0.708 0.619 Nd
0.503 0.292 0.381 Nd
0.571 0.015 0.189 Nd
0.708 0.497 0.119 Nd
0.755 0.120 0.555 Nd
0.880 0.245 0.945 Nd
0.985 0.429 0.311 Nd
0.409 0.591 0.250 Dy
0.591 0.409 0.750 Dy
```

***

Tb2PmNd6Dy | PBE-GGA | optimized geometry

* DOS at the Fermi energy: 28.80 states/eV per cell
* energy: -4.608 eV/atom
* energy of formation: 0.11 eV/atom
* symmetry: C2/c

Cell and atoms, written as POSCAR:
```
Tb2PmNd6Dy
1.0
4.647 -7.683 0.000
4.647 7.683 0.000
-1.275 0.000 9.650
Tb Pm Nd Dy
4 2 12 2
direct
0.200 0.299 0.046 Tb
0.299 0.200 0.546 Tb
0.701 0.800 0.454 Tb
0.800 0.701 0.954 Tb
0.026 0.974 0.250 Pm
0.974 0.026 0.750 Pm
0.011 0.565 0.187 Nd
0.117 0.758 0.555 Nd
0.242 0.883 0.945 Nd
0.293 0.510 0.381 Nd
0.435 0.989 0.313 Nd
0.490 0.707 0.119 Nd
0.510 0.293 0.881 Nd
0.565 0.011 0.687 Nd
0.707 0.490 0.619 Nd
0.758 0.117 0.055 Nd
0.883 0.242 0.445 Nd
0.989 0.435 0.813 Nd
0.410 0.590 0.750 Dy
0.590 0.410 0.250 Dy
```

***

TbPm2NdDy6 | PBE-GGA | optimized geometry

* DOS at the Fermi energy: 29.11 states/eV per cell
* energy: -4.534 eV/atom
* energy of formation: 0.12 eV/atom
* symmetry: C2/c

Cell and atoms, written as POSCAR:
```
TbPm2NdDy6
1.0
4.533 -7.543 0.000
4.533 7.543 0.000
-1.454 0.000 9.611
Tb Pm Nd Dy
2 4 2 12
direct
0.093 0.907 0.750 Tb
0.907 0.093 0.250 Tb
0.203 0.305 0.957 Pm
0.305 0.203 0.457 Pm
0.695 0.797 0.543 Pm
0.797 0.695 0.043 Pm
0.481 0.519 0.250 Nd
0.519 0.481 0.750 Nd
0.007 0.795 0.380 Dy
0.072 0.521 0.185 Dy
0.205 0.993 0.120 Dy
0.242 0.622 0.557 Dy
0.378 0.758 0.943 Dy
0.479 0.928 0.315 Dy
0.521 0.072 0.685 Dy
0.622 0.242 0.057 Dy
0.758 0.378 0.443 Dy
0.795 0.007 0.880 Dy
0.928 0.479 0.815 Dy
0.993 0.205 0.620 Dy
```

***

Tb5PmNd2Dy | PBE-GGA | optimized geometry

* DOS at the Fermi energy: 22.10 states/eV per cell
* energy: -4.405 eV/atom
* energy of formation: 0.27 eV/atom
* symmetry: I4/mcm

Cell and atoms, written as POSCAR:
```
Tb5PmNd2Dy
1.0
-4.360 4.360 7.851
4.360 -4.360 7.851
4.360 4.360 -7.851
Tb Pm Nd Dy
10 2 4 2
direct
0.000 0.000 0.000 Tb
0.072 0.572 0.921 Tb
0.151 0.072 0.500 Tb
0.349 0.849 0.921 Tb
0.428 0.349 0.500 Tb
0.500 0.500 0.000 Tb
0.572 0.651 0.500 Tb
0.651 0.151 0.079 Tb
0.849 0.928 0.500 Tb
0.928 0.428 0.079 Tb
0.250 0.250 0.000 Pm
0.750 0.750 0.000 Pm
0.118 0.382 0.500 Nd
0.382 0.882 0.264 Nd
0.618 0.118 0.736 Nd
0.882 0.618 0.500 Nd
0.250 0.750 0.500 Dy
0.750 0.250 0.500 Dy
```

***

no.,magnetic moment (μB/cell)
1,0.00
2,0.00
3,0.00
4,0.00